Material: LaBPd2W
Method: DFT, GGA-PBE
State: relaxed

For the energy of formation from the pure elements, the calculation gives 2.517 eV per atom. Its uncorrected energy is -4.472 eV per atom.

Unit cell a=5.061 b=5.061 c=5.250 alpha=90.00 beta=90.00 gamma=90.00
Space group P4/mmm (No. 123)
Symmetry-distinct sites (fractional):
La: 0.000 0.000 0.000 [1 per cell]
B: 0.500 0.500 0.500 [1 per cell]
Pd: 0.000 0.500 0.000 [2 per cell]
W: 0.000 0.000 0.500 [1 per cell]